one | A plane-wave DFT calculation with meta-GGA SCAN was carried out for a PBEsol-optimized structure of ZnTc2P.

Properties
DOS at the Fermi energy	2.3	states/eV/cell

Cell lengths 2.796, 2.796, 8.368 Å; angles 80.38, 80.38, 60.00 degrees
Sites, in units of the cell vectors:
Tc 0.747 0.747 0.759
Tc 0.996 0.996 0.013
Zn 0.501 0.501 0.497
P 0.256 0.256 0.232

=====

two | A plane-wave DFT calculation with meta-GGA SCAN was carried out for a PBEsol-optimized structure of ZnTc2P.

Properties
DOS at the Fermi energy	3.0	states/eV/cell

Cell lengths 2.695, 2.695, 8.483 Å; angles 90.00, 90.00, 113.53 degrees
Sites, in units of the cell vectors:
Tc 0.500 0.500 0.757
Tc 0.000 0.000 0.009
P 0.500 0.500 0.230
Zn 0.000 0.000 0.504

=====

The structure with the least stability is two.